(i)
Computed, not measured: a relaxed structure of Mg2CuSe3 at the PBE-GGA level of DFT.

a = 6.603 Å, b = 6.603 Å, c = 6.904 Å
α = 90.00°, β = 90.00°, γ = 120.00°
Fractional coordinates of all 12 atoms:
Mg  0.333  0.667  0.000
Mg  0.333  0.667  0.500
Mg  0.667  0.333  0.000
Mg  0.667  0.333  0.500
Cu  0.000  0.000  0.250
Cu  0.000  0.000  0.750
Se  0.000  0.352  0.250
Se  0.000  0.648  0.750
Se  0.352  0.000  0.250
Se  0.352  0.352  0.750
Se  0.648  0.000  0.750
Se  0.648  0.648  0.250

Calculated values
crystal system = hexagonal
symmetry = P6_3/mcm (193)
DOS at the Fermi energy = 7.34 states/eV/cell
magnetization = 0.00 μB per cell



(ii)
Computed, not measured: a relaxed structure of Mg2CuSe3 at the PBE-GGA level of DFT.

a = 3.870 Å, b = 3.870 Å, c = 18.797 Å
α = 90.00°, β = 90.00°, γ = 119.96°
Fractional coordinates of all 12 atoms:
Mg  0.169  0.831  0.585
Mg  0.169  0.831  0.915
Mg  0.831  0.169  0.085
Mg  0.831  0.169  0.415
Cu  0.463  0.537  0.250
Cu  0.537  0.463  0.750
Se  0.173  0.827  0.166
Se  0.173  0.827  0.334
Se  0.500  0.500  0.000
Se  0.500  0.500  0.500
Se  0.827  0.173  0.666
Se  0.827  0.173  0.834

Calculated values
crystal system = orthorhombic
symmetry = Cmcm (63)
DOS at the Fermi energy = 6.66 states/eV/cell
magnetization = 0.00 μB per cell



Quick one: most stable of them? (i)



(i)
Computed, not measured: a relaxed structure of Mg2CuSe3 at the PBE-GGA level of DFT.

a = 8.841 Å, b = 8.841 Å, c = 6.953 Å
α = 90.00°, β = 90.00°, γ = 135.59°
Fractional coordinates of all 12 atoms:
Mg  0.220  0.780  0.525
Mg  0.220  0.780  0.975
Mg  0.780  0.220  0.025
Mg  0.780  0.220  0.475
Cu  0.000  0.000  0.000
Cu  0.000  0.000  0.500
Se  0.074  0.446  0.750
Se  0.087  0.913  0.750
Se  0.446  0.074  0.250
Se  0.554  0.926  0.750
Se  0.913  0.087  0.250
Se  0.926  0.554  0.250

Calculated values
crystal system = orthorhombic
symmetry = Cmcm (63)
DOS at the Fermi energy = 8.66 states/eV/cell
magnetization = 0.36 μB per cell



(ii)
Computed, not measured: a relaxed structure of Mg2CuSe3 at the PBE-GGA level of DFT.

a = 6.844 Å, b = 6.844 Å, c = 6.986 Å
α = 90.00°, β = 90.00°, γ = 56.51°
Fractional coordinates of all 12 atoms:
Mg  0.166  0.166  0.000
Mg  0.166  0.166  0.500
Mg  0.834  0.834  0.000
Mg  0.834  0.834  0.500
Cu  0.242  0.758  0.750
Cu  0.758  0.242  0.250
Se  0.136  0.864  0.250
Se  0.147  0.483  0.750
Se  0.483  0.147  0.250
Se  0.517  0.853  0.750
Se  0.853  0.517  0.250
Se  0.864  0.136  0.750

Calculated values
crystal system = orthorhombic
symmetry = Cmcm (63)
DOS at the Fermi energy = 8.13 states/eV/cell
magnetization = 0.00 μB per cell



(iii)
Computed, not measured: a relaxed structure of Mg2CuSe3 at the PBE-GGA level of DFT.

a = 5.193 Å, b = 5.193 Å, c = 5.193 Å
α = 85.61°, β = 85.61°, γ = 85.61°
Fractional coordinates of all 6 atoms:
Mg  0.172  0.172  0.172
Mg  0.828  0.828  0.828
Cu  0.500  0.500  0.500
Se  0.000  0.500  0.500
Se  0.500  0.000  0.500
Se  0.500  0.500  0.000

Calculated values
crystal system = trigonal
symmetry = R-3m (166)
DOS at the Fermi energy = 2.77 states/eV/cell
magnetization = 0.00 μB per cell



Quick one: most stable of them? (ii)



(i)
Computed, not measured: a relaxed structure of Mg4Cu2Se at the PBE-GGA level of DFT.

a = 9.004 Å, b = 9.004 Å, c = 4.423 Å
α = 90.00°, β = 90.00°, γ = 90.00°
Fractional coordinates of all 14 atoms:
Mg  0.000  0.241  0.000
Mg  0.000  0.759  0.000
Mg  0.241  0.000  0.000
Mg  0.259  0.500  0.500
Mg  0.500  0.259  0.500
Mg  0.500  0.741  0.500
Mg  0.741  0.500  0.500
Mg  0.759  0.000  0.000
Cu  0.000  0.500  0.250
Cu  0.000  0.500  0.750
Cu  0.500  0.000  0.250
Cu  0.500  0.000  0.750
Se  0.000  0.000  0.500
Se  0.500  0.500  0.000

Calculated values
crystal system = tetragonal
symmetry = I4/mmm (139)
DOS at the Fermi energy = 4.40 states/eV/cell
magnetization = 0.00 μB per cell



(ii)
Computed, not measured: a relaxed structure of Mg4Cu2Se at the PBE-GGA level of DFT.

a = 10.423 Å, b = 10.423 Å, c = 10.423 Å
α = 22.46°, β = 22.46°, γ = 22.46°
Fractional coordinates of all 7 atoms:
Mg  0.116  0.116  0.116
Mg  0.365  0.365  0.365
Mg  0.635  0.635  0.635
Mg  0.884  0.884  0.884
Cu  0.270  0.270  0.270
Cu  0.730  0.730  0.730
Se  0.500  0.500  0.500

Calculated values
crystal system = trigonal
symmetry = R-3m (166)
DOS at the Fermi energy = 2.77 states/eV/cell
magnetization = 0.00 μB per cell



Quick one: most stable of them? (ii)



(i)
Computed, not measured: a relaxed structure of Mg4Cu2Se at the PBE-GGA level of DFT.

a = 8.337 Å, b = 8.337 Å, c = 8.337 Å
α = 134.68°, β = 134.68°, γ = 66.04°
Fractional coordinates of all 14 atoms:
Mg  0.035  0.535  0.840
Mg  0.196  0.035  0.500
Mg  0.304  0.804  0.840
Mg  0.465  0.304  0.500
Mg  0.535  0.696  0.500
Mg  0.696  0.196  0.160
Mg  0.804  0.965  0.500
Mg  0.965  0.465  0.160
Cu  0.131  0.369  0.500
Cu  0.369  0.869  0.239
Cu  0.631  0.131  0.761
Cu  0.869  0.631  0.500
Se  0.250  0.250  0.000
Se  0.750  0.750  0.000

Calculated values
crystal system = tetragonal
symmetry = I4/mcm (140)
DOS at the Fermi energy = 6.70 states/eV/cell
magnetization = 0.00 μB per cell



(ii)
Computed, not measured: a relaxed structure of Mg4Cu2Se at the PBE-GGA level of DFT.

a = 5.089 Å, b = 5.089 Å, c = 12.936 Å
α = 90.00°, β = 90.00°, γ = 90.00°
Fractional coordinates of all 14 atoms:
Mg  0.000  0.000  0.213
Mg  0.000  0.000  0.787
Mg  0.000  0.500  0.000
Mg  0.000  0.500  0.500
Mg  0.500  0.000  0.000
Mg  0.500  0.000  0.500
Mg  0.500  0.500  0.287
Mg  0.500  0.500  0.713
Cu  0.000  0.000  0.408
Cu  0.000  0.000  0.592
Cu  0.500  0.500  0.092
Cu  0.500  0.500  0.908
Se  0.000  0.000  0.000
Se  0.500  0.500  0.500

Calculated values
crystal system = tetragonal
symmetry = I4/mmm (139)
DOS at the Fermi energy = 5.57 states/eV/cell
magnetization = 0.00 μB per cell



Quick one: most stable of them? (i)



(i)
Computed, not measured: a relaxed structure of Mg4CuSe8 at the PBE-GGA level of DFT.

a = 9.781 Å, b = 9.781 Å, c = 9.781 Å
α = 92.55°, β = 92.55°, γ = 155.63°
Fractional coordinates of all 13 atoms:
Mg  0.086  0.332  0.418
Mg  0.332  0.914  0.246
Mg  0.668  0.086  0.754
Mg  0.914  0.668  0.582
Cu  0.500  0.500  0.000
Se  0.195  0.764  0.959
Se  0.209  0.480  0.689
Se  0.236  0.195  0.432
Se  0.480  0.791  0.272
Se  0.520  0.209  0.728
Se  0.764  0.805  0.568
Se  0.791  0.520  0.311
Se  0.805  0.236  0.041

Calculated values
crystal system = tetragonal
symmetry = I4/m (87)
DOS at the Fermi energy = 3.78 states/eV/cell
magnetization = 0.00 μB per cell



(ii)
Computed, not measured: a relaxed structure of Mg4CuSe8 at the PBE-GGA level of DFT.

a = 7.288 Å, b = 7.288 Å, c = 7.288 Å
α = 105.67°, β = 105.67°, γ = 117.37°
Fractional coordinates of all 13 atoms:
Mg  0.000  0.000  0.500
Mg  0.000  0.500  0.000
Mg  0.500  0.000  0.000
Mg  0.500  0.500  0.500
Cu  0.000  0.000  0.000
Se  0.000  0.275  0.275
Se  0.000  0.725  0.725
Se  0.275  0.000  0.275
Se  0.276  0.500  0.776
Se  0.500  0.276  0.776
Se  0.500  0.724  0.224
Se  0.724  0.500  0.224
Se  0.725  0.000  0.725

Calculated values
crystal system = tetragonal
symmetry = I4/mmm (139)
DOS at the Fermi energy = 5.48 states/eV/cell
magnetization = 0.00 μB per cell



Quick one: most stable of them? (ii)



(i)
Computed, not measured: a relaxed structure of Mg3CuSe2 at the PBE-GGA level of DFT.

a = 5.339 Å, b = 5.339 Å, c = 5.339 Å
α = 82.04°, β = 82.04°, γ = 82.04°
Fractional coordinates of all 6 atoms:
Mg  0.000  0.500  0.500
Mg  0.500  0.000  0.500
Mg  0.500  0.500  0.000
Cu  0.500  0.500  0.500
Se  0.178  0.178  0.178
Se  0.822  0.822  0.822

Calculated values
crystal system = trigonal
symmetry = R-3m (166)
DOS at the Fermi energy = 3.41 states/eV/cell
magnetization = 0.00 μB per cell



(ii)
Computed, not measured: a relaxed structure of Mg3CuSe2 at the PBE-GGA level of DFT.

a = 3.917 Å, b = 3.917 Å, c = 18.692 Å
α = 90.00°, β = 90.00°, γ = 120.00°
Fractional coordinates of all 12 atoms:
Mg  0.000  0.000  0.000
Mg  0.000  0.000  0.500
Mg  0.333  0.667  0.169
Mg  0.333  0.667  0.331
Mg  0.667  0.333  0.669
Mg  0.667  0.333  0.831
Cu  0.000  0.000  0.250
Cu  0.000  0.000  0.750
Se  0.333  0.667  0.585
Se  0.333  0.667  0.915
Se  0.667  0.333  0.085
Se  0.667  0.333  0.415

Calculated values
crystal system = hexagonal
symmetry = P6_3/mmc (194)
DOS at the Fermi energy = 1.26 states/eV/cell
magnetization = 0.00 μB per cell



Quick one: most stable of them? (ii)



(i)
Computed, not measured: a relaxed structure of Mg3CuSe2 at the PBE-GGA level of DFT.

a = 6.306 Å, b = 6.306 Å, c = 7.140 Å
α = 90.00°, β = 90.00°, γ = 71.80°
Fractional coordinates of all 12 atoms:
Mg  0.102  0.898  0.750
Mg  0.107  0.540  0.250
Mg  0.460  0.893  0.250
Mg  0.540  0.107  0.750
Mg  0.893  0.460  0.750
Mg  0.898  0.102  0.250
Cu  0.460  0.540  0.750
Cu  0.540  0.460  0.250
Se  0.190  0.190  0.000
Se  0.190  0.190  0.500
Se  0.810  0.810  0.000
Se  0.810  0.810  0.500

Calculated values
crystal system = orthorhombic
symmetry = Cmcm (63)
DOS at the Fermi energy = 3.61 states/eV/cell
magnetization = 0.00 μB per cell



(ii)
Computed, not measured: a relaxed structure of Mg3CuSe2 at the PBE-GGA level of DFT.

a = 7.352 Å, b = 7.352 Å, c = 5.620 Å
α = 90.00°, β = 90.00°, γ = 116.80°
Fractional coordinates of all 12 atoms:
Mg  0.099  0.901  0.750
Mg  0.111  0.476  0.750
Mg  0.476  0.111  0.250
Mg  0.524  0.889  0.750
Mg  0.889  0.524  0.250
Mg  0.901  0.099  0.250
Cu  0.291  0.709  0.250
Cu  0.709  0.291  0.750
Se  0.256  0.256  0.000
Se  0.256  0.256  0.500
Se  0.744  0.744  0.000
Se  0.744  0.744  0.500

Calculated values
crystal system = orthorhombic
symmetry = Cmcm (63)
DOS at the Fermi energy = 4.02 states/eV/cell
magnetization = 0.00 μB per cell



Quick one: most stable of them? (i)



(i)
Computed, not measured: a relaxed structure of MgCu3Se2 at the PBE-GGA level of DFT.

a = 5.123 Å, b = 5.123 Å, c = 10.247 Å
α = 90.00°, β = 90.00°, γ = 120.00°
Fractional coordinates of all 12 atoms:
Mg  0.000  0.000  0.000
Mg  0.000  0.000  0.500
Cu  0.158  0.315  0.250
Cu  0.158  0.842  0.250
Cu  0.315  0.158  0.750
Cu  0.685  0.842  0.250
Cu  0.842  0.158  0.750
Cu  0.842  0.685  0.750
Se  0.333  0.667  0.070
Se  0.333  0.667  0.430
Se  0.667  0.333  0.570
Se  0.667  0.333  0.930

Calculated values
crystal system = hexagonal
symmetry = P6_3/mmc (194)
DOS at the Fermi energy = 4.47 states/eV/cell
magnetization = 0.00 μB per cell



(ii)
Computed, not measured: a relaxed structure of MgCu3Se2 at the PBE-GGA level of DFT.

a = 5.316 Å, b = 5.316 Å, c = 7.236 Å
α = 90.00°, β = 90.00°, γ = 89.32°
Fractional coordinates of all 12 atoms:
Mg  0.088  0.912  0.750
Mg  0.912  0.088  0.250
Cu  0.057  0.582  0.250
Cu  0.418  0.943  0.250
Cu  0.462  0.538  0.750
Cu  0.538  0.462  0.250
Cu  0.582  0.057  0.750
Cu  0.943  0.418  0.750
Se  0.261  0.261  0.000
Se  0.261  0.261  0.500
Se  0.739  0.739  0.000
Se  0.739  0.739  0.500

Calculated values
crystal system = orthorhombic
symmetry = Cmcm (63)
DOS at the Fermi energy = 3.82 states/eV/cell
magnetization = 0.00 μB per cell



(iii)
Computed, not measured: a relaxed structure of MgCu3Se2 at the PBE-GGA level of DFT.

a = 5.982 Å, b = 5.982 Å, c = 5.982 Å
α = 46.80°, β = 46.80°, γ = 46.80°
Fractional coordinates of all 6 atoms:
Mg  0.000  0.000  0.000
Cu  0.000  0.000  0.500
Cu  0.000  0.500  0.000
Cu  0.500  0.000  0.000
Se  0.400  0.400  0.400
Se  0.600  0.600  0.600

Calculated values
crystal system = trigonal
symmetry = R-3m (166)
DOS at the Fermi energy = 2.87 states/eV/cell
magnetization = 0.00 μB per cell



(iv)
Computed, not measured: a relaxed structure of MgCu3Se2 at the PBE-GGA level of DFT.

a = 6.095 Å, b = 6.095 Å, c = 6.163 Å
α = 90.00°, β = 90.00°, γ = 74.29°
Fractional coordinates of all 12 atoms:
Mg  0.238  0.762  0.750
Mg  0.762  0.238  0.250
Cu  0.150  0.850  0.250
Cu  0.312  0.436  0.250
Cu  0.436  0.312  0.750
Cu  0.564  0.688  0.250
Cu  0.688  0.564  0.750
Cu  0.850  0.150  0.750
Se  0.178  0.178  0.000
Se  0.178  0.178  0.500
Se  0.822  0.822  0.000
Se  0.822  0.822  0.500

Calculated values
crystal system = orthorhombic
symmetry = Cmcm (63)
DOS at the Fermi energy = 2.39 states/eV/cell
magnetization = 0.00 μB per cell



Quick one: most stable of them? (i)



(i)
Computed, not measured: a relaxed structure of Mg4CuSe at the PBE-GGA level of DFT.

a = 5.673 Å, b = 5.673 Å, c = 5.673 Å
α = 60.00°, β = 60.00°, γ = 60.00°
Fractional coordinates of all 6 atoms:
Mg  0.125  0.125  0.125
Mg  0.125  0.125  0.626
Mg  0.125  0.626  0.125
Mg  0.626  0.125  0.125
Cu  0.500  0.500  0.500
Se  0.750  0.750  0.750

Calculated values
crystal system = cubic
symmetry = F-43m (216)
DOS at the Fermi energy = 3.02 states/eV/cell
magnetization = 0.00 μB per cell



(ii)
Computed, not measured: a relaxed structure of Mg4CuSe at the PBE-GGA level of DFT.

a = 10.571 Å, b = 3.867 Å, c = 6.369 Å
α = 90.00°, β = 90.00°, γ = 90.00°
Fractional coordinates of all 12 atoms:
Mg  0.000  0.000  0.000
Mg  0.101  0.500  0.338
Mg  0.250  0.500  0.866
Mg  0.399  0.500  0.338
Mg  0.500  0.000  0.000
Mg  0.601  0.500  0.662
Mg  0.750  0.500  0.134
Mg  0.899  0.500  0.662
Cu  0.250  0.000  0.149
Cu  0.750  0.000  0.851
Se  0.250  0.000  0.549
Se  0.750  0.000  0.451

Calculated values
crystal system = orthorhombic
symmetry = Pmma (51)
DOS at the Fermi energy = 3.21 states/eV/cell
magnetization = 0.00 μB per cell



Quick one: most stable of them? (ii)